(1)
Below is a relaxed structure of Ca2SiSb, with properties calculated at the PBE-GGA level.

Summary:
**Formation energy (no corrections)**: -505 meV/atom
**Total magnetization**: 0.000 μB per atom
**Space group**: P2/m (10)

Cell: 3.411 4.299 6.970 Å, 90.00 90.86 90.00°
Atoms (fractional coordinates):
Ca 0.001 0.000 0.268
Ca 0.999 0.000 0.732
Si 0.500 0.500 0.500
Sb 0.500 0.500 0.000


(2)
Below is a relaxed structure of Nd5Dy6Mg2, with properties calculated at the PBE-GGA level.

Summary:
**Formation enthalpy at 0 K**: 132 meV/atom
**Total magnetization**: 0.000 μB per atom
**Space group**: Pbam (55)

Cell: 10.540 22.569 3.574 Å, 90.00 90.00 90.00°
Atoms (fractional coordinates):
Nd 0.000 0.000 0.000
Nd 0.081 0.251 0.000
Nd 0.167 0.506 0.000
Nd 0.333 0.006 0.000
Nd 0.419 0.751 0.000
Nd 0.500 0.500 0.000
Nd 0.581 0.249 0.000
Nd 0.667 0.994 0.000
Nd 0.833 0.494 0.000
Nd 0.919 0.749 0.000
Dy 0.020 0.386 0.500
Dy 0.144 0.118 0.500
Dy 0.168 0.865 0.000
Dy 0.332 0.365 0.000
Dy 0.356 0.618 0.500
Dy 0.480 0.886 0.500
Dy 0.520 0.114 0.500
Dy 0.644 0.382 0.500
Dy 0.668 0.635 0.000
Dy 0.832 0.135 0.000
Dy 0.856 0.882 0.500
Dy 0.980 0.614 0.500
Mg 0.168 0.738 0.500
Mg 0.332 0.238 0.500
Mg 0.668 0.762 0.500
Mg 0.832 0.262 0.500


(3)
Below is a relaxed structure of VGeAs2, with properties calculated at the PBE-GGA level.

Summary:
**Formation enthalpy at 0 K**: 589 meV/atom
**Total magnetization**: 0.788 μB per atom
**Space group**: R-3m (166)

Cell: 3.509 3.509 24.455 Å, 90.00 90.00 120.00°
Atoms (fractional coordinates):
V 0.000 0.000 0.000
V 0.333 0.667 0.667
V 0.667 0.333 0.333
Ge 0.000 0.000 0.500
Ge 0.333 0.667 0.167
Ge 0.667 0.333 0.833
As 0.000 0.000 0.101
As 0.000 0.000 0.899
As 0.333 0.667 0.566
As 0.333 0.667 0.767
As 0.667 0.333 0.233
As 0.667 0.333 0.434


(4)
Below is a relaxed structure of DyTmPb, with properties calculated at the PBE-GGA level.

Summary:
**Formation enthalpy at 0 K**: -369 meV/atom
**Total magnetization**: 0.139 μB per atom
**Space group**: Pnma (62)

Cell: 8.022 4.506 9.749 Å, 90.00 90.00 90.00°
Atoms (fractional coordinates):
Dy 0.046 0.250 0.174
Dy 0.454 0.750 0.674
Dy 0.546 0.250 0.326
Dy 0.954 0.750 0.826
Tm 0.131 0.250 0.565
Tm 0.369 0.750 0.065
Tm 0.631 0.250 0.935
Tm 0.869 0.750 0.435
Pb 0.239 0.250 0.868
Pb 0.261 0.750 0.368
Pb 0.739 0.250 0.632
Pb 0.761 0.750 0.132


(5)
Below is a relaxed structure of La4NiHg, with properties calculated at the PBE-GGA level.

Summary:
**Formation enthalpy at 0 K**: 505 meV/atom
**Total magnetization**: 0.000 μB per atom
**Space group**: F-43m (216)

Cell: 6.357 6.357 6.357 Å, 60.00 60.00 60.00°
Atoms (fractional coordinates):
La 0.124 0.124 0.124
La 0.124 0.124 0.627
La 0.124 0.627 0.124
La 0.627 0.124 0.124
Ni 0.750 0.750 0.750
Hg 0.500 0.500 0.500


(6)
Below is a relaxed structure of SmDy8Y2, with properties calculated at the PBE-GGA level.

Summary:
**Formation enthalpy at 0 K**: 117 meV/atom
**Total magnetization**: 0.000 μB per atom
**Space group**: Immm (71)

Cell: 9.346 9.346 9.346 Å, 145.57 128.64 63.31°
Atoms (fractional coordinates):
Sm 0.000 0.000 0.000
Dy 0.157 0.863 0.294
Dy 0.163 0.663 0.500
Dy 0.294 0.500 0.794
Dy 0.431 0.137 0.294
Dy 0.569 0.863 0.706
Dy 0.706 0.500 0.206
Dy 0.837 0.337 0.500
Dy 0.843 0.137 0.706
Y 0.299 0.299 0.000
Y 0.701 0.701 0.000


(7)
Below is a relaxed structure of KSi2Br, with properties calculated at the PBE-GGA level.

Summary:
**Formation energy (no corrections)**: 147 meV/atom
**Total magnetization**: 0.000 μB per atom
**Space group**: Fmmm (69)

Cell: 5.656 5.657 15.773 Å, 90.00 90.00 90.00°
Atoms (fractional coordinates):
K 0.000 0.000 0.000
K 0.000 0.500 0.500
K 0.500 0.000 0.500
K 0.500 0.500 0.000
Si 0.250 0.000 0.250
Si 0.250 0.000 0.750
Si 0.250 0.500 0.250
Si 0.250 0.500 0.750
Si 0.750 0.000 0.250
Si 0.750 0.000 0.750
Si 0.750 0.500 0.250
Si 0.750 0.500 0.750
Br 0.000 0.000 0.500
Br 0.000 0.500 0.000
Br 0.500 0.000 0.000
Br 0.500 0.500 0.500


(8)
Below is a relaxed structure of Pm5Pr2DyMg, with properties calculated at the PBE-GGA level.

Summary:
**Formation enthalpy at 0 K**: 85 meV/atom
**Total magnetization**: 0.000 μB per atom
**Space group**: Cmc2_1 (36)

Cell: 10.535 10.535 10.779 Å, 90.00 90.00 149.31°
Atoms (fractional coordinates):
Pm 0.000 0.000 0.000
Pm 0.000 0.000 0.500
Pm 0.121 0.879 0.750
Pm 0.212 0.788 0.053
Pm 0.212 0.788 0.448
Pm 0.486 0.514 0.750
Pm 0.514 0.486 0.250
Pm 0.788 0.212 0.553
Pm 0.788 0.212 0.948
Pm 0.879 0.121 0.250
Pr 0.385 0.615 0.040
Pr 0.385 0.615 0.461
Pr 0.615 0.385 0.540
Pr 0.615 0.385 0.961
Dy 0.299 0.701 0.750
Dy 0.701 0.299 0.250
Mg 0.095 0.905 0.249
Mg 0.905 0.095 0.749